(one)
VASP calculation (PBE) on a relaxed structure of BaBi4Au2.

Lattice parameters (Å, degrees): 9.825 9.825 4.732 90.00 90.00 151.90
Sites, in units of the cell vectors:
Ba 0.000 0.000 0.000
Bi 0.168 0.832 0.500
Bi 0.328 0.672 0.000
Bi 0.672 0.328 0.000
Bi 0.832 0.168 0.500
Au 0.428 0.572 0.500
Au 0.572 0.428 0.500

Properties
The mass density is 10.55 g cm⁻³. Its density of states at the Fermi level is 4.3 states/eV/cell.

=====

(two)
VASP calculation (PBE) on a relaxed structure of BaBi4Au2.

Lattice parameters (Å, degrees): 9.598 9.598 4.660 90.00 90.00 90.00
Sites, in units of the cell vectors:
Ba 0.000 0.000 0.000
Ba 0.500 0.500 0.500
Bi 0.083 0.317 0.500
Bi 0.183 0.583 0.000
Bi 0.317 0.083 0.500
Bi 0.417 0.817 0.000
Bi 0.583 0.183 0.000
Bi 0.683 0.917 0.500
Bi 0.817 0.417 0.000
Bi 0.917 0.683 0.500
Au 0.211 0.789 0.500
Au 0.289 0.289 0.000
Au 0.711 0.711 0.000
Au 0.789 0.211 0.500

Properties
The mass density is 10.58 g cm⁻³. Its density of states at the Fermi level is 7.4 states/eV/cell.

=====

Least stable of them? (one).

=====

(one)
VASP calculation (PBE) on a relaxed structure of BaTa2BiAu.

Lattice parameters (Å, degrees): 5.226 5.226 5.586 90.00 90.00 90.00
Sites, in units of the cell vectors:
Ba 0.000 0.000 0.000
Ta 0.000 0.500 0.000
Ta 0.500 0.000 0.000
Bi 0.500 0.500 0.500
Au 0.000 0.000 0.500

Properties
The mass density is 9.85 g cm⁻³. Its density of states at the Fermi level is 5.1 states/eV/cell.

=====

(two)
VASP calculation (PBE) on a relaxed structure of BaTa2BiAu.

Lattice parameters (Å, degrees): 5.105 5.105 6.065 90.00 90.00 90.00
Sites, in units of the cell vectors:
Ba 0.000 0.000 0.000
Ta 0.000 0.500 0.500
Ta 0.500 0.000 0.500
Bi 0.500 0.500 0.000
Au 0.000 0.000 0.500

Properties
The mass density is 9.51 g cm⁻³. Its density of states at the Fermi level is 5.3 states/eV/cell.

=====

Least stable of them? (one).